Entry 1:
NdScPdRh | the Alexandria database | PBE | relaxed; uncorrected energy = -6.6545 eV per atom; energy of formation = -0.74 eV per atom; space group = F-43m, No. 216
1.0
-3.9308 2.5356 1.3332
-3.9314 0.0759 -2.8630
-4.0475 -2.3269 1.3645
Rh Nd Pd Sc
1 1 1 1
Direct
0.2500 0.2500 0.2500
0.0000 0.0000 0.0000
0.7500 0.7500 0.7500
0.5000 0.5000 0.5000

Entry 2:
MgCr2Br | the Alexandria database | PBE | relaxed; uncorrected energy = -5.4212 eV per atom; energy above the lowest structure with this stoichiometry = 0.024 eV per atom; formation energy (no corrections) = 0.207 eV/atom; space group = P4mm, No. 99
1.0
3.2410 0.5703 0.0000
-0.5668 3.2416 0.0000
0.0000 0.0000 7.7842
Cr Mg Br
2 1 1
Direct
0.5000 0.5000 0.2330
0.0000 0.0000 0.1078
0.0000 0.0000 0.4795
0.5000 0.5000 0.6798

Entry 3:
Sc2ZnNi | the Alexandria database | PBE | relaxed; uncorrected energy = -5.1403 eV per atom; energy of formation = -0.21 eV per atom; space group = I-4m2, No. 119
1.0
-1.5523 4.8917 -0.9971
-5.1734 0.6886 -0.3072
3.2704 -2.2603 3.3952
Sc Ni Zn
2 1 1
Direct
0.2500 0.7500 0.5000
0.0000 0.0000 0.0000
0.7500 0.2500 0.5000
0.5000 0.5000 0.0000

Entry 4:
Cu2Br2F | the Alexandria database | PBE | relaxed; uncorrected energy = -3.3155 eV per atom; formation energy (no corrections) = -0.634 eV/atom; space group = C2/m, No. 12
1.0
4.0498 0.0000 1.2259
1.6008 6.9109 2.0138
-0.0614 -0.0109 7.5051
Br Cu F
4 4 2
Direct
0.1064 0.6547 0.1326
0.8936 0.3453 0.8674
0.3490 0.0270 0.2749
0.6510 0.9730 0.7251
0.1984 0.8049 0.7984
0.5079 0.6726 0.3116
0.8016 0.1951 0.2016
0.4921 0.3274 0.6884
0.6173 0.3753 0.3901
0.3827 0.6247 0.6099

Entry 5:
Y3Ho4Ag4 | the Alexandria database | PBE | relaxed; uncorrected energy = -4.5835 eV per atom; energy of formation = -0.12 eV per atom; space group = Immm, No. 71
1.0
-3.3095 -2.1560 3.0808
5.3432 -0.6917 5.2558
-2.9351 8.4828 -1.2891
Ag Ho Y
4 4 3
Direct
0.1978 0.6978 0.3957
0.5000 0.1866 0.0000
0.8022 0.3021 0.6043
0.5000 0.8134 0.0000
0.3250 0.1049 0.6500
0.6750 0.8951 0.3500
0.6750 0.4549 0.3500
0.3250 0.5451 0.6500
0.0000 0.5000 0.0000
0.8942 0.8942 0.7884
0.1058 0.1058 0.2116

Entry 6:
K2I2O3 | the Alexandria database | PBE | relaxed; uncorrected energy = -3.7080 eV per atom; formation energy (no corrections) = -0.827 eV/atom; space group = Pc, No. 7
1.0
5.5242 0.0000 0.0000
0.0000 5.9965 0.1699
0.0000 5.6713 10.7030
I O K
4 6 4
Direct
0.7612 0.0361 0.0084
0.7216 0.5539 0.4912
0.2784 0.5539 0.9912
0.2388 0.0361 0.5084
0.7490 0.2884 0.6619
0.9344 0.4114 0.4105
0.2510 0.2884 0.1619
0.4579 0.7215 0.5894
0.0656 0.4114 0.9105
0.5421 0.7215 0.0894
0.2368 0.7727 0.2403
0.2399 0.2877 0.7412
0.7601 0.2877 0.2412
0.7632 0.7727 0.7403

Entry 7:
AlAsPd2Pb | the Alexandria database | PBE | relaxed; uncorrected energy = -4.4045 eV per atom; energy of formation = 0.09 eV per atom; space group = P4/mmm, No. 123
1.0
4.8016 0.0000 0.0000
0.0000 4.8602 0.0000
0.0000 0.0000 4.8016
As Pd Pb Al
1 2 1 1
Direct
0.0000 0.0000 0.0000
0.5000 0.0000 0.0000
0.0000 0.0000 0.5000
0.5000 0.5000 0.5000
0.0000 0.5000 0.0000

Entry 8:
Mn3P5 | the Alexandria database | PBE | relaxed; uncorrected energy = -6.8207 eV per atom; energy of formation = 0.00 eV per atom; energy above the lowest structure with this stoichiometry = 0.000 eV per atom; space group = I4cm, No. 108
1.0
6.8679 -0.0006 -0.0003
-3.7507 5.7532 -0.0003
-1.5606 -2.8801 6.0409
Mn P
6 10
Direct
0.7503 0.7503 0.9997
0.1432 0.6432 0.7882
0.8542 0.3542 0.2111
0.3545 0.1429 0.4997
0.6429 0.8545 0.4997
0.2503 0.2503 0.9997
0.8117 0.0779 0.8888
0.2486 0.7486 0.4996
0.4226 0.6888 0.1105
0.7488 0.2488 0.4997
0.6890 0.5782 0.2659
0.0782 0.1890 0.2659
0.1888 0.9226 0.1105
0.9223 0.8116 0.7335
0.5779 0.3117 0.8888
0.3116 0.4224 0.7335

Entry 9:
V3Re4 | the Alexandria database | PBE | relaxed; uncorrected energy = -10.8908 eV per atom; energy of formation = 0.13 eV per atom; space group = C2/m, No. 12
1.0
2.6984 0.0000 0.0000
0.0000 6.6309 -0.3000
-1.3492 -3.2566 5.8793
Re V
4 3
Direct
0.0767 0.4412 0.1534
0.6391 0.8610 0.2781
0.3609 0.1390 0.7219
0.9233 0.5588 0.8466
0.0000 0.0000 0.0000
0.7857 0.7173 0.5714
0.2143 0.2827 0.4286

Entry 10:
AcPrTlHg | the Alexandria database | PBE | relaxed; uncorrected energy = -3.2903 eV per atom; energy of formation = -0.40 eV per atom; energy above the lowest structure with this stoichiometry = 0.011 eV per atom; space group = F-43m, No. 216
1.0
5.6646 0.0000 0.0000
2.8323 4.9057 0.0000
2.8323 1.6352 4.6251
Tl Hg Pr Ac
1 1 1 1
Direct
0.0000 0.0000 0.0000
0.5000 0.5000 0.5000
0.7500 0.7500 0.7500
0.2500 0.2500 0.2500

Entry 11:
GdThPd2 | the Alexandria database | PBE | relaxed; uncorrected energy = -8.6994 eV per atom; energy of formation = -0.73 eV per atom; energy above the lowest structure with this stoichiometry = 0.007 eV per atom; space group = R-3m, No. 166
1.0
-2.7107 0.3676 -3.1295
-4.0680 0.3007 0.7986
-1.6966 7.0148 -0.4668
Pd Th Gd
2 1 1
Direct
0.7493 0.7493 0.7520
0.2507 0.2507 0.2480
0.0000 0.0000 0.0000
0.5000 0.5000 0.5000

Entry 12:
Dy2Ga2Si | the Alexandria database | PBE | relaxed; uncorrected energy = -4.7896 eV per atom; formation energy (no corrections) = -0.653 eV/atom; space group = C2/m, No. 12
1.0
-1.8763 0.2076 3.6332
-4.7385 -3.3306 0.0502
3.9347 -7.7019 4.7791
Ga Dy Si
4 4 2
Direct
0.3663 0.1522 0.1152
0.9705 0.6529 0.4060
0.0295 0.3471 0.5940
0.6337 0.8478 0.8848
0.0985 0.7039 0.0990
0.2945 0.7664 0.6447
0.9015 0.2961 0.9010
0.7055 0.2336 0.3553
0.4296 0.8308 0.3099
0.5704 0.1692 0.6901

Entry 13:
Rb2ZnTeO4 | the Alexandria database | PBE | relaxed; uncorrected energy = -4.6033 eV per atom; formation energy (no corrections) = -1.330 eV/atom; space group = C2, No. 5
1.0
0.1298 5.9300 0.7597
-3.4597 -1.4983 5.3560
4.8807 -2.5407 -1.0713
Te O Rb Zn
1 4 2 1
Direct
0.9418 0.4418 0.8836
0.8679 0.4988 0.2102
0.3422 0.7113 0.2101
0.7844 0.6887 0.8198
0.0353 0.1311 0.8197
0.4526 0.9526 0.9051
0.2188 0.2189 0.4376
0.7440 0.7440 0.4880